Computed, not measured: BiAuBr after structural relaxation at the PBE-GGA level of DFT.

abc: 4.066 4.066 12.606
angles: 90.31 90.76 59.97
Positions (direct):
Bi  0.009  0.499  0.195
Br  0.682  0.165  0.357
Au  0.664  0.167  0.938
Br  0.318  0.835  0.643
Au  0.336  0.833  0.062
Bi  0.991  0.501  0.805

Properties
- total magnetic moment (μB per formula unit) = 0.0
- ΔE_f (raw) (eV/atom) = -0.247
- Fermi-level density of states (states/eV per atom) = 0.2985
- SG = P-1
- E_tot (eV for the cell shown) = -19.14